[1]
Entry from OQMD via LeMat-Bulk: crystalline ZrCd4Pd2 at its relaxed geometry (PBE-GGA).

```
ZrCd4Pd2
1.0
-5.255 2.969 0.863
-2.952 -5.324 0.344
0.577 -0.076 3.773
Cd Pd Zr
4 2 1
direct
0.733 0.267 0.500 Cd
0.267 0.733 0.500 Cd
0.267 0.267 0.500 Cd
0.733 0.733 0.500 Cd
0.500 0.000 0.000 Pd
0.000 0.500 0.000 Pd
0.000 0.000 0.000 Zr
```

## Properties
Magnetization ... 0.220 μB per cell
SG ... P4/mmm
Energy of formation ... -0.761 eV/f.u.

---

[2]
Entry from OQMD via LeMat-Bulk: crystalline LaTlCdTe3 at its relaxed geometry (PBE-GGA).

```
LaTlCdTe3
1.0
9.002 0.000 0.000
0.000 4.805 0.000
0.000 0.000 18.814
Cd La Te Tl
4 4 12 4
direct
0.908 0.750 0.154 Cd
0.408 0.750 0.346 Cd
0.592 0.250 0.654 Cd
0.092 0.250 0.846 Cd
0.268 0.750 0.041 La
0.768 0.750 0.459 La
0.232 0.250 0.541 La
0.732 0.250 0.959 La
0.627 0.750 0.062 Te
0.008 0.250 0.081 Te
0.271 0.750 0.211 Te
0.771 0.750 0.289 Te
0.508 0.250 0.419 Te
0.127 0.750 0.438 Te
0.873 0.250 0.562 Te
0.492 0.750 0.581 Te
0.229 0.250 0.711 Te
0.729 0.250 0.789 Te
0.992 0.750 0.919 Te
0.373 0.250 0.938 Te
0.556 0.250 0.204 Tl
0.056 0.250 0.296 Tl
0.944 0.750 0.704 Tl
0.444 0.750 0.796 Tl
```

## Properties
Magnetization ... 0.003 μB per cell
SG ... Pnma
ΔE to the lowest computed polymorph ... 0.0573 eV/atom

---

[3]
Entry from OQMD via LeMat-Bulk: crystalline La3Mg3PdPt2 at its relaxed geometry (PBE-GGA).

```
La3Mg3PdPt2
1.0
7.716 0.000 0.000
-3.858 6.683 0.000
0.000 0.000 4.149
La Mg Pd Pt
3 3 1 2
direct
0.418 0.000 0.500 La
0.000 0.418 0.500 La
0.582 0.582 0.500 La
0.763 0.000 0.000 Mg
0.237 0.237 0.000 Mg
0.000 0.763 0.000 Mg
0.000 0.000 0.500 Pd
0.667 0.333 0.000 Pt
0.333 0.667 0.000 Pt
```

## Properties
Magnetization ... 0.023 μB per cell
E ... -44.32 eV/f.u.
SG ... P-62m

---

[4]
Entry from OQMD via LeMat-Bulk: crystalline In2FeTe2 at its relaxed geometry (PBE-GGA).

```
In2FeTe2
1.0
4.561 0.000 0.000
-2.280 3.950 0.000
0.000 0.000 15.300
Fe In Te
2 4 4
direct
0.000 0.000 0.250 Fe
0.000 0.000 0.750 Fe
0.667 0.333 0.115 In
0.667 0.333 0.385 In
0.333 0.667 0.615 In
0.333 0.667 0.885 In
0.000 0.000 0.000 Te
0.333 0.667 0.250 Te
0.000 0.000 0.500 Te
0.667 0.333 0.750 Te
```

## Properties
Magnetization ... 6.734 μB per cell
E ... -19.63 eV/f.u.
SG ... P6_3/mmc

---

[5]
Entry from OQMD via LeMat-Bulk: crystalline Tm2ScZn3Au3 at its relaxed geometry (PBE-GGA).

```
Tm2ScZn3Au3
1.0
3.771 0.000 0.000
0.000 6.365 3.687
0.000 -6.365 3.687
Au Sc Tm Zn
3 1 2 3
direct
0.000 0.004 0.004 Au
0.500 0.660 0.334 Au
0.500 0.334 0.660 Au
0.000 0.403 0.403 Sc
0.000 0.000 0.596 Tm
0.000 0.596 0.000 Tm
0.500 0.260 0.002 Zn
0.500 0.002 0.260 Zn
0.500 0.739 0.739 Zn
```

## Properties
Magnetization ... 0.020 μB per cell
SG ... Amm2
Energy of formation ... -5.997 eV/f.u.

---

[6]
Entry from OQMD via LeMat-Bulk: crystalline Nb4Sn3Mo2C3 at its relaxed geometry (PBE-GGA).

```
Nb4Sn3Mo2C3
1.0
4.878 -2.812 0.000
4.878 2.812 0.000
-3.249 0.000 13.753
C Mo Nb Sn
6 4 8 6
direct
0.000 0.500 0.000 C
0.666 0.168 0.000 C
0.832 0.334 0.500 C
0.500 0.000 0.500 C
0.168 0.666 0.500 C
0.334 0.832 0.000 C
0.360 0.526 0.078 Mo
0.474 0.640 0.422 Mo
0.526 0.360 0.578 Mo
0.640 0.474 0.922 Mo
0.027 0.196 0.084 Nb
0.695 0.861 0.084 Nb
0.139 0.305 0.416 Nb
0.804 0.973 0.416 Nb
0.196 0.027 0.584 Nb
0.861 0.695 0.584 Nb
0.305 0.139 0.916 Nb
0.973 0.804 0.916 Nb
0.414 0.266 0.250 Sn
0.093 0.907 0.250 Sn
0.734 0.586 0.250 Sn
0.266 0.414 0.750 Sn
0.907 0.093 0.750 Sn
0.586 0.734 0.750 Sn
```

## Properties
Magnetization ... 0.005 μB per cell
E ... -105.00 eV/f.u.
SG ... C2/c

---

[7]
Entry from OQMD via LeMat-Bulk: crystalline GdSiMo at its relaxed geometry (PBE-GGA).

```
GdSiMo
1.0
3.689 0.708 2.458
0.088 -1.219 4.319
2.531 -3.472 1.301
Gd Mo Si
1 1 1
direct
0.250 0.250 0.250 Gd
0.750 0.750 0.750 Mo
0.000 0.000 0.000 Si
```

## Properties
Magnetization ... 0.291 μB per cell
E ... -20.67 eV/f.u.
SG ... F-43m

---

[8]
Entry from OQMD via LeMat-Bulk: crystalline Tm3Zn3CuAu2 at its relaxed geometry (PBE-GGA).

```
Tm3Zn3CuAu2
1.0
7.252 0.000 0.000
-3.626 6.281 0.000
0.000 0.000 3.875
Au Cu Tm Zn
2 1 3 3
direct
0.667 0.333 0.500 Au
0.333 0.667 0.500 Au
0.000 0.000 0.000 Cu
0.405 0.000 0.000 Tm
0.000 0.405 0.000 Tm
0.595 0.595 0.000 Tm
0.766 0.000 0.500 Zn
0.234 0.234 0.500 Zn
0.000 0.766 0.500 Zn
```

## Properties
Magnetization ... 0.011 μB per cell
SG ... P-62m
Energy of formation ... -5.356 eV/f.u.